(1)
## Y4Cd3Mo2N3 (PBE)

Data for an optimized crystal structure of Y4Cd3Mo2N3.

## Properties
The space-group type is C2/c (15).

Cell lengths 5.869, 5.869, 15.007 Å; angles 101.42, 101.42, 60.56 degrees
Atoms (fractional coordinates):
Y 0.038 0.194 0.094
Y 0.129 0.303 0.406
Y 0.194 0.038 0.594
Y 0.303 0.129 0.906
Y 0.697 0.871 0.094
Y 0.806 0.962 0.406
Y 0.871 0.697 0.594
Y 0.962 0.806 0.906
Cd 0.142 0.858 0.250
Cd 0.305 0.418 0.751
Cd 0.418 0.305 0.251
Cd 0.582 0.695 0.749
Cd 0.695 0.582 0.249
Cd 0.858 0.142 0.750
Mo 0.352 0.519 0.061
Mo 0.481 0.648 0.439
Mo 0.519 0.352 0.561
Mo 0.648 0.481 0.939
N 0.000 0.500 0.000
N 0.172 0.664 0.500
N 0.336 0.828 0.000
N 0.500 0.000 0.500
N 0.664 0.172 0.000
N 0.828 0.336 0.500



(2)
## HoZnIn (PBE)

Data for an optimized crystal structure of HoZnIn.

## Properties
The space-group type is P6_3mc (186).

Cell lengths 4.640, 4.640, 7.263 Å; angles 90.00, 90.00, 120.00 degrees
Atoms (fractional coordinates):
Ho 0.000 0.000 0.000
Ho 0.000 0.000 0.500
Zn 0.333 0.667 0.305
Zn 0.667 0.333 0.805
In 0.333 0.667 0.725
In 0.667 0.333 0.225



no.,spin magnetization (Bohr magnetons per cell),VASP energy (eV per cell)
1,0.0,-166.85
2,0.0,-19.90